Zn3Cd2Au (PBE, optimized geometry); DOS at the Fermi energy = 1.4 states/eV/f.u.; energy of formation from the pure elements = -72 meV/atom; raw total energy = -1.560 eV/atom; SG = No. 12
1.0
4.744 -0.207 -2.516
-3.042 4.426 -0.164
-0.254 0.168 5.306
Au Cd Zn
1 2 3
Direct
0.000 0.000 0.000 Au
0.248 0.624 0.872 Cd
0.752 0.376 0.128 Cd
0.000 0.000 0.500 Zn
0.500 0.500 0.500 Zn
0.500 0.000 0.500 Zn